The following is a GGA-PBE calculation of crystalline YP2Rh at its relaxed geometry, from Alexandria.

Calculated values
As for the density of states at the Fermi level: 0.8 states/eV per cell. The energy above the lowest structure with this stoichiometry comes out at 0.99 eV/f.u. The formation energy from the elements is -3.1 eV per formula unit.

abc: 6.2271 6.2271 6.2271
angles: 147.56 146.70 47.18
With the nearest neighbours (Å) after each atom.
Positions (direct):
Y 0.0000 0.0000 0.0000  6 P 2.76-2.81
P 0.3965 0.3965 0.0000  2 Rh 2.37
P 0.6901 0.1901 0.5000  4 Rh 2.60, 2 Y 2.81
Rh 0.2550 0.7550 0.5000  6 P 2.37-2.60



The following is a GGA-PBE calculation of crystalline Y2P4Rh5 at its relaxed geometry, from Alexandria.

Calculated values
As for the density of states at the Fermi level: 4.9 states/eV per cell. The formation energy from the elements is -9.8 eV per formula unit.

abc: 8.5189 7.5419 5.5130
angles: 79.82 60.62 39.56
With the nearest neighbours (Å) after each atom.
Positions (direct):
Y 0.1346 0.1346 0.8654  6 P 3.10-3.30, 10 Rh 3.20-3.34
Y 0.8654 0.8654 0.1346  6 P 3.10-3.30, 10 Rh 3.20-3.34
P 0.2146 0.5273 0.4727  5 Rh 2.35-2.44
P 0.4727 0.7854 0.2146  5 Rh 2.35-2.44
P 0.5273 0.2146 0.7854  5 Rh 2.35-2.44
P 0.7854 0.4727 0.5273  5 Rh 2.35-2.44
Rh 0.0000 0.0000 0.5000  4 P 2.44, 2 Rh 2.71
Rh 0.2500 0.2500 0.2500  4 P 2.35
Rh 0.5000 0.5000 0.0000  4 P 2.44, 2 Rh 2.71
Rh 0.5000 0.5000 0.5000  4 P 2.36
Rh 0.7500 0.7500 0.7500  4 P 2.35



The following is a GGA-PBE calculation of crystalline YP2Rh at its relaxed geometry, from Alexandria.

Calculated values
As for the density of states at the Fermi level: 3.3 states/eV per cell. The energy above the lowest structure with this stoichiometry comes out at 1.91 eV/f.u. The formation energy from the elements is -2.2 eV per formula unit.

abc: 3.5511 3.5511 6.2194
angles: 90.00 90.00 110.47
With the nearest neighbours (Å) after each atom.
Positions (direct):
Y 0.0000 0.0000 0.0000  4 P 2.74
P 0.5000 0.5000 0.2976  2 Rh 2.38, 1 P 2.52
P 0.5000 0.5000 0.7024  2 Rh 2.38, 1 P 2.52
Rh 0.0000 0.0000 0.5000  4 P 2.38



The following is a GGA-PBE calculation of crystalline YPRh2 at its relaxed geometry, from Alexandria.

Calculated values
As for the density of states at the Fermi level: 2.1 states/eV per cell. The formation energy from the elements is -2.9 eV per formula unit.

abc: 3.8567 5.0230 5.0230
angles: 47.04 90.00 90.00
With the nearest neighbours (Å) after each atom.
Positions (direct):
Y 0.0000 0.0000 0.0000  3 Rh 2.62-2.82, 4 P 2.89
P 0.5000 0.5856 0.5856  3 Rh 2.27-2.34
Rh 0.0000 0.7155 0.7155  2 P 2.27
Rh 0.5000 0.3319 0.3319  1 P 2.34



The following is a GGA-PBE calculation of crystalline YP2Rh at its relaxed geometry, from Alexandria.

Calculated values
As for the density of states at the Fermi level: 0.7 states/eV per cell. The energy above the lowest structure with this stoichiometry comes out at 0.15 eV/f.u. The formation energy from the elements is -3.9 eV per formula unit.

abc: 4.2365 3.9290 4.5000
angles: 90.00 95.34 90.00
With the nearest neighbours (Å) after each atom.
Positions (direct):
Y 0.0000 0.0000 0.0000  4 P 2.81, 2 Rh 2.94
P 0.3799 0.5000 0.7632  1 P 2.27, 2 Rh 2.37
P 0.6201 0.5000 0.2368  1 P 2.27, 2 Rh 2.37
Rh 0.5000 0.0000 0.5000  4 P 2.37



The following is a GGA-PBE calculation of crystalline Y2P7Rh12 at its relaxed geometry, from Alexandria.

Calculated values
As for the density of states at the Fermi level: 14.8 states/eV per cell. The formation energy from the elements is -19.5 eV per formula unit.

abc: 9.5959 9.5959 3.8764
angles: 90.00 90.00 120.00
With the nearest neighbours (Å) after each atom.
Positions (direct):
Y 0.3333 0.6667 0.2487  6 P 3.01-3.03, 6 Rh 3.05
Y 0.6667 0.3333 0.7513  6 P 3.01-3.03, 6 Rh 3.05
P 0.0000 0.0000 0.0000  6 Rh 2.39
P 0.1190 0.4054 0.7452  7 Rh 2.33-2.59
P 0.2863 0.8810 0.7452  7 Rh 2.33-2.59
P 0.4054 0.2863 0.2548  7 Rh 2.33-2.59
P 0.5946 0.7137 0.7452  7 Rh 2.33-2.59
P 0.7137 0.1190 0.2548  7 Rh 2.33-2.59
P 0.8810 0.5946 0.2548  7 Rh 2.33-2.59
Rh 0.0676 0.6181 0.7494  4 P 2.33-2.59
Rh 0.1104 0.8489 0.2495  4 P 2.33-2.50
Rh 0.1511 0.2615 0.2495  4 P 2.33-2.50
Rh 0.2615 0.1104 0.7505  4 P 2.33-2.50
Rh 0.3819 0.4495 0.7494  4 P 2.33-2.59
Rh 0.4495 0.0676 0.2506  4 P 2.33-2.59
Rh 0.5505 0.9324 0.7494  4 P 2.33-2.59
Rh 0.6181 0.5505 0.2506  4 P 2.33-2.59
Rh 0.7385 0.8896 0.2495  4 P 2.33-2.50
Rh 0.8489 0.7385 0.7505  4 P 2.33-2.50
Rh 0.8896 0.1511 0.7505  4 P 2.33-2.50
Rh 0.9324 0.3819 0.2506  4 P 2.33-2.59



The records above yield raw total energy values of -6.9368; -7.3771; -6.7076; -7.3728; -7.1454; -7.5486 eV per atom, respectively.